No. 1
{"formula": "Li2Hg6Pb3", "functional": "PBE", "state": "relaxed", "dos_ef_per_ev_atom": 0.53, "final_energy_ev_per_atom": -1.594, "formation_enthalpy_0k_ev_per_atom": -0.0696, "lattice_angstrom": [[8.497, 0.000, -3.004], [-4.249, 7.359, -3.004], [0.000, 0.000, 9.013]], "species": ["Hg", "Hg", "Li", "Hg", "Hg", "Hg", "Hg", "Li", "Hg", "Pb", "Pb", "Hg", "Hg", "Li", "Pb", "Hg", "Hg", "Li", "Hg", "Pb", "Pb", "Pb"], "fractional_positions": [[0.651, 0.326, 0.326], [0.674, 0.674, 0.349], [0.500, 0.000, 0.000], [0.326, 0.674, 0.000], [0.674, 0.326, 0.000], [0.326, 0.000, 0.674], [0.326, 0.326, 0.651], [0.000, 0.000, 0.500], [0.674, 0.000, 0.326], [0.238, 0.000, 0.238], [0.762, 0.000, 0.762], [0.349, 0.674, 0.674], [0.000, 0.326, 0.674], [0.000, 0.500, 0.000], [0.762, 0.762, 0.000], [0.326, 0.651, 0.326], [0.000, 0.674, 0.326], [0.500, 0.500, 0.500], [0.674, 0.349, 0.674], [0.000, 0.762, 0.762], [0.238, 0.238, 0.000], [0.000, 0.238, 0.238]]}

***

No. 2
{"formula": "Li5HgPb6", "functional": "PBE", "state": "relaxed", "dos_ef_per_ev_atom": 0.46, "final_energy_ev_per_atom": -2.876, "formation_enthalpy_0k_ev_per_atom": -0.1996, "lattice_angstrom": [[4.847, -0.026, 1.615], [0.035, 7.401, 0.012], [0.026, -0.013, 8.003]], "species": ["Li", "Li", "Pb", "Pb", "Pb", "Li", "Pb", "Li", "Hg", "Pb", "Li", "Pb"], "fractional_positions": [[0.338, 0.500, 0.324], [0.662, 0.000, 0.675], [0.828, 0.253, 0.343], [0.500, 0.740, 0.000], [0.828, 0.747, 0.343], [0.338, 0.000, 0.325], [0.172, 0.747, 0.657], [0.000, 0.500, 0.000], [0.000, 0.000, 0.000], [0.500, 0.260, 0.000], [0.662, 0.500, 0.676], [0.172, 0.253, 0.657]]}

***

No. 3
{"formula": "Li7HgPb2", "functional": "PBE", "state": "relaxed", "dos_ef_per_ev_atom": 0.41, "final_energy_ev_per_atom": -2.062, "formation_enthalpy_0k_ev_per_atom": 0.0492, "lattice_angstrom": [[-5.053, -4.521, -0.906], [-1.966, -4.016, 5.177], [-6.067, 1.005, 2.995]], "species": ["Li", "Li", "Li", "Pb", "Li", "Li", "Li", "Pb", "Hg", "Li"], "fractional_positions": [[0.255, 0.255, 0.745], [0.745, 0.745, 0.255], [0.255, 0.745, 0.745], [0.250, 0.250, 0.250], [0.745, 0.255, 0.255], [0.745, 0.255, 0.745], [0.500, 0.500, 0.500], [0.750, 0.750, 0.750], [0.000, 0.000, 0.000], [0.255, 0.745, 0.255]]}

***

No. 4
{"formula": "Li2HgPb", "functional": "PBE", "state": "relaxed", "dos_ef_per_ev_atom": 0.38, "final_energy_ev_per_atom": -1.960, "formation_enthalpy_0k_ev_per_atom": -0.0007, "lattice_angstrom": [[-0.827, 6.226, -0.720], [-3.648, -4.839, -1.800], [-0.527, -5.044, 3.774]], "species": ["Pb", "Li", "Hg", "Li"], "fractional_positions": [[0.000, 0.500, 0.500], [0.000, 0.758, 0.758], [0.000, 0.000, 0.000], [0.000, 0.242, 0.242]]}

***

No. 5
{"formula": "Li3Hg3Pb2", "functional": "PBE", "state": "relaxed", "dos_ef_per_ev_atom": 0.40, "final_energy_ev_per_atom": -1.964, "formation_enthalpy_0k_ev_per_atom": -0.2056, "lattice_angstrom": [[3.177, 0.000, 0.000], [0.000, 7.101, -4.100], [0.000, 0.000, 8.200]], "species": ["Hg", "Li", "Hg", "Pb", "Li", "Hg", "Pb", "Li"], "fractional_positions": [[0.000, 0.234, 0.234], [0.500, 0.340, 0.000], [0.000, 0.000, 0.766], [0.000, 0.667, 0.333], [0.500, 0.000, 0.340], [0.000, 0.766, 0.000], [0.000, 0.333, 0.667], [0.500, 0.660, 0.660]]}

***

No. 6
{"formula": "Li5Hg6Pb", "functional": "PBE", "state": "relaxed", "dos_ef_per_ev_atom": 0.29, "final_energy_ev_per_atom": -1.554, "formation_enthalpy_0k_ev_per_atom": -0.2968, "lattice_angstrom": [[4.576, 0.020, -1.336], [-0.989, 6.325, -3.294], [-0.040, 0.257, 8.375]], "species": ["Hg", "Li", "Hg", "Hg", "Pb", "Li", "Li", "Hg", "Li", "Hg", "Hg", "Li"], "fractional_positions": [[0.820, 0.547, 0.640], [0.653, 0.153, 0.307], [0.500, 0.710, 0.000], [0.180, 0.453, 0.360], [0.000, 0.000, 0.000], [0.672, 0.672, 0.344], [0.347, 0.847, 0.693], [0.180, 0.907, 0.360], [0.000, 0.500, 0.000], [0.820, 0.093, 0.640], [0.500, 0.290, 0.000], [0.328, 0.328, 0.656]]}

***

No. 7
{"formula": "LiHg2Pb", "functional": "PBE", "state": "relaxed", "dos_ef_per_ev_atom": 0.20, "final_energy_ev_per_atom": -1.746, "formation_enthalpy_0k_ev_per_atom": -0.1898, "lattice_angstrom": [[-2.137, 0.675, -2.510], [-1.328, -3.077, 0.305], [-5.509, 2.921, 5.477]], "species": ["Hg", "Li", "Pb", "Hg"], "fractional_positions": [[0.000, 0.000, 0.448], [0.500, 0.500, 0.250], [0.500, 0.500, 0.750], [0.000, 0.000, 0.052]]}

***

No. 8
{"formula": "Li5Hg2Pb4", "functional": "PBE", "state": "relaxed", "dos_ef_per_ev_atom": 0.39, "final_energy_ev_per_atom": -2.531, "formation_enthalpy_0k_ev_per_atom": -0.2578, "lattice_angstrom": [[3.434, 0.000, 0.000], [0.000, 7.815, 0.000], [0.000, 0.000, 18.245]], "species": ["Li", "Pb", "Pb", "Pb", "Pb", "Pb", "Hg", "Pb", "Li", "Li", "Pb", "Li", "Li", "Pb", "Li", "Li", "Hg", "Li", "Li", "Li", "Hg", "Hg"], "fractional_positions": [[0.000, 0.757, 0.207], [0.500, 0.073, 0.141], [0.500, 0.304, 0.945], [0.500, 0.427, 0.641], [0.500, 0.196, 0.445], [0.500, 0.573, 0.359], [0.500, 0.543, 0.803], [0.500, 0.927, 0.859], [0.000, 0.257, 0.293], [0.000, 0.743, 0.707], [0.500, 0.804, 0.555], [0.000, 0.627, 0.921], [0.000, 0.500, 0.500], [0.500, 0.696, 0.055], [0.000, 0.873, 0.421], [0.000, 0.000, 0.000], [0.500, 0.043, 0.697], [0.000, 0.243, 0.793], [0.000, 0.373, 0.079], [0.000, 0.127, 0.579], [0.500, 0.957, 0.303], [0.500, 0.457, 0.197]]}

***

No. 9
{"formula": "Li7Hg4Pb", "functional": "PBE", "state": "relaxed", "dos_ef_per_ev_atom": 0.39, "final_energy_ev_per_atom": -1.762, "formation_enthalpy_0k_ev_per_atom": -0.2365, "lattice_angstrom": [[-5.145, 0.178, -0.190], [-2.488, -4.125, -6.320], [-2.860, -6.368, 1.660]], "species": ["Li", "Hg", "Li", "Hg", "Li", "Hg", "Hg", "Pb", "Li", "Li", "Li", "Li"], "fractional_positions": [[0.755, 0.285, 0.205], [0.310, 0.343, 0.037], [0.245, 0.715, 0.795], [0.690, 0.657, 0.963], [0.807, 0.878, 0.508], [0.561, 0.278, 0.600], [0.439, 0.722, 0.400], [0.000, 0.000, 0.000], [0.193, 0.122, 0.492], [0.074, 0.588, 0.264], [0.926, 0.412, 0.736], [0.500, 0.000, 0.000]]}

***

No. 10
{"formula": "LiHg5Pb4", "functional": "PBE", "state": "relaxed", "dos_ef_per_ev_atom": 0.27, "final_energy_ev_per_atom": -1.879, "formation_enthalpy_0k_ev_per_atom": -0.0538, "lattice_angstrom": [[-2.702, -1.872, 0.623], [1.886, -2.140, 1.748], [-4.070, 12.374, 19.541]], "species": ["Hg", "Pb", "Hg", "Pb", "Hg", "Hg", "Hg", "Pb", "Li", "Pb"], "fractional_positions": [[0.500, 0.500, 0.284], [0.000, 0.000, 0.823], [0.500, 0.500, 0.071], [0.000, 0.000, 0.392], [0.500, 0.500, 0.929], [0.500, 0.500, 0.500], [0.500, 0.500, 0.716], [0.000, 0.000, 0.608], [0.000, 0.000, 0.000], [0.000, 0.000, 0.177]]}

***

No. 11
{"formula": "Li7Hg3Pb", "functional": "PBE", "state": "relaxed", "dos_ef_per_ev_atom": 0.37, "final_energy_ev_per_atom": -1.846, "formation_enthalpy_0k_ev_per_atom": -0.2088, "lattice_angstrom": [[-3.105, 0.513, -0.095], [1.311, -4.142, -13.031], [-1.734, -9.945, 2.987]], "species": ["Li", "Li", "Li", "Li", "Li", "Li", "Hg", "Hg", "Li", "Hg", "Li", "Li", "Li", "Pb", "Hg", "Li", "Li", "Li", "Li", "Hg", "Hg", "Pb"], "fractional_positions": [[0.290, 0.580, 0.596], [0.710, 0.420, 0.096], [0.543, 0.086, 0.250], [0.457, 0.914, 0.750], [0.549, 0.097, 0.518], [0.290, 0.580, 0.904], [0.121, 0.242, 0.390], [0.121, 0.242, 0.110], [0.641, 0.282, 0.615], [0.210, 0.419, 0.750], [0.451, 0.903, 0.018], [0.359, 0.718, 0.115], [0.549, 0.097, 0.982], [0.946, 0.892, 0.250], [0.790, 0.581, 0.250], [0.359, 0.718, 0.385], [0.710, 0.420, 0.404], [0.641, 0.282, 0.885], [0.451, 0.903, 0.482], [0.879, 0.758, 0.610], [0.879, 0.758, 0.890], [0.054, 0.108, 0.750]]}

***

No. 12
{"formula": "LiHg2Pb", "functional": "PBE", "state": "relaxed", "dos_ef_per_ev_atom": 0.24, "final_energy_ev_per_atom": -1.669, "formation_enthalpy_0k_ev_per_atom": -0.1123, "lattice_angstrom": [[-5.092, -0.458, -0.177], [-3.774, -2.282, -2.591], [-0.583, -5.096, 3.531]], "species": ["Pb", "Li", "Hg", "Hg"], "fractional_positions": [[0.759, 0.759, 0.744], [0.506, 0.506, 0.448], [0.996, 0.996, 0.028], [0.239, 0.239, 0.281]]}

***

No. 13
{"formula": "Li6HgPb5", "functional": "PBE", "state": "relaxed", "dos_ef_per_ev_atom": 0.35, "final_energy_ev_per_atom": -2.799, "formation_enthalpy_0k_ev_per_atom": -0.2721, "lattice_angstrom": [[-1.342, 1.920, 4.410], [-4.357, -5.324, 0.992], [4.911, -3.010, 5.416]], "species": ["Li", "Li", "Pb", "Li", "Li", "Pb", "Hg", "Pb", "Li", "Pb", "Pb", "Li"], "fractional_positions": [[0.500, 0.765, 0.000], [0.500, 0.235, 0.000], [0.327, 0.000, 0.344], [0.160, 0.754, 0.681], [0.840, 0.754, 0.319], [0.669, 0.500, 0.662], [0.000, 0.000, 0.000], [0.331, 0.500, 0.338], [0.840, 0.246, 0.319], [0.000, 0.500, 0.000], [0.673, 0.000, 0.656], [0.160, 0.246, 0.681]]}

***

No. 14
{"formula": "Li4Hg3Pb3", "functional": "PBE", "state": "relaxed", "dos_ef_per_ev_atom": 0.43, "final_energy_ev_per_atom": -2.131, "formation_enthalpy_0k_ev_per_atom": -0.1623, "lattice_angstrom": [[8.097, 0.000, -2.863], [-4.049, 7.013, -2.863], [0.000, 0.000, 8.589]], "species": ["Li", "Hg", "Li", "Hg", "Pb", "Li", "Pb", "Hg", "Hg", "Pb", "Pb", "Li", "Li", "Li", "Hg", "Hg", "Li", "Li", "Pb", "Pb"], "fractional_positions": [[0.207, 0.707, 0.707], [0.875, 0.625, 0.750], [0.500, 0.293, 0.500], [0.750, 0.125, 0.875], [0.750, 0.625, 0.375], [0.707, 0.207, 0.207], [0.625, 0.750, 0.875], [0.375, 0.250, 0.125], [0.125, 0.750, 0.375], [0.375, 0.125, 0.750], [0.125, 0.375, 0.250], [0.000, 0.000, 0.293], [0.000, 0.000, 0.793], [0.293, 0.500, 0.000], [0.250, 0.375, 0.625], [0.625, 0.875, 0.250], [0.793, 0.500, 0.000], [0.500, 0.793, 0.500], [0.250, 0.875, 0.125], [0.875, 0.250, 0.625]]}

***

No. 15
{"formula": "LiHg5Pb", "functional": "PBE", "state": "relaxed", "dos_ef_per_ev_atom": 0.43, "final_energy_ev_per_atom": -1.089, "formation_enthalpy_0k_ev_per_atom": -0.0699, "lattice_angstrom": [[7.129, 0.167, -1.725], [-2.565, 6.903, -1.470], [-0.222, -0.741, 7.470]], "species": ["Hg", "Hg", "Hg", "Hg", "Hg", "Pb", "Hg", "Li", "Hg", "Hg", "Hg", "Hg", "Pb", "Li"], "fractional_positions": [[0.360, 0.207, 0.489], [0.388, 0.391, 0.123], [0.750, 0.223, 0.777], [0.888, 0.123, 0.391], [0.112, 0.877, 0.609], [0.500, 0.000, 0.000], [0.860, 0.489, 0.207], [0.750, 0.466, 0.534], [0.140, 0.511, 0.793], [0.250, 0.777, 0.223], [0.612, 0.609, 0.877], [0.640, 0.793, 0.511], [0.000, 0.000, 0.000], [0.250, 0.534, 0.466]]}

***

No. 16
{"formula": "Li2HgPb", "functional": "PBE", "state": "relaxed", "dos_ef_per_ev_atom": 0.48, "final_energy_ev_per_atom": -2.247, "formation_enthalpy_0k_ev_per_atom": -0.2875, "lattice_angstrom": [[4.927, 0.000, 0.000], [0.000, 3.334, -0.003], [0.000, 0.003, 4.933]], "species": ["Hg", "Pb", "Li", "Li"], "fractional_positions": [[0.500, 0.624, 0.872], [0.000, 0.625, 0.379], [0.500, 0.125, 0.369], [0.000, 0.126, 0.879]]}

***

No. 17
{"formula": "Li2HgPb8", "functional": "PBE", "state": "relaxed", "dos_ef_per_ev_atom": 0.44, "final_energy_ev_per_atom": -3.116, "formation_enthalpy_0k_ev_per_atom": -0.0441, "lattice_angstrom": [[4.732, 0.000, 0.000], [0.000, 7.492, 0.053], [-2.366, -3.149, 8.753]], "species": ["Hg", "Pb", "Li", "Pb", "Pb", "Pb", "Pb", "Pb", "Li", "Pb", "Pb"], "fractional_positions": [[0.500, 0.000, 0.000], [0.606, 0.475, 0.212], [0.808, 0.289, 0.615], [0.666, 0.955, 0.333], [0.967, 0.254, 0.934], [0.334, 0.045, 0.667], [0.802, 0.698, 0.603], [0.198, 0.302, 0.397], [0.192, 0.711, 0.385], [0.033, 0.746, 0.066], [0.394, 0.525, 0.788]]}

***

No. 18
{"formula": "Li5HgPb4", "functional": "PBE", "state": "relaxed", "dos_ef_per_ev_atom": 0.52, "final_energy_ev_per_atom": -2.744, "formation_enthalpy_0k_ev_per_atom": -0.2738, "lattice_angstrom": [[3.558, 0.000, 0.000], [0.000, 3.558, 0.000], [0.000, 0.000, 17.223]], "species": ["Li", "Pb", "Pb", "Li", "Li", "Pb", "Hg", "Pb", "Li", "Li"], "fractional_positions": [[0.500, 0.500, 0.703], [0.000, 0.000, 0.602], [0.000, 0.000, 0.808], [0.500, 0.500, 0.500], [0.500, 0.500, 0.910], [0.000, 0.000, 0.398], [0.000, 0.000, 0.000], [0.000, 0.000, 0.192], [0.500, 0.500, 0.090], [0.500, 0.500, 0.297]]}

***

No. 19
{"formula": "LiHg4Pb7", "functional": "PBE", "state": "relaxed", "dos_ef_per_ev_atom": 0.38, "final_energy_ev_per_atom": -2.358, "formation_enthalpy_0k_ev_per_atom": 0.0653, "lattice_angstrom": [[5.510, 0.000, 0.000], [2.755, 8.915, 0.145], [2.755, 0.497, 7.463]], "species": ["Li", "Pb", "Hg", "Hg", "Hg", "Pb", "Hg", "Pb", "Pb", "Pb", "Pb", "Pb"], "fractional_positions": [[0.000, 0.000, 0.000], [0.500, 0.000, 0.000], [0.426, 0.777, 0.372], [0.720, 0.665, 0.895], [0.574, 0.223, 0.628], [0.355, 0.563, 0.728], [0.280, 0.335, 0.105], [0.077, 0.688, 0.159], [0.645, 0.437, 0.272], [0.213, 0.121, 0.452], [0.923, 0.312, 0.841], [0.787, 0.879, 0.548]]}

***

No. 20
{"formula": "LiHg3Pb3", "functional": "PBE", "state": "relaxed", "dos_ef_per_ev_atom": 0.34, "final_energy_ev_per_atom": -2.050, "formation_enthalpy_0k_ev_per_atom": -0.0576, "lattice_angstrom": [[-2.360, -5.256, 1.114], [2.720, 2.733, 4.423], [-10.247, 3.522, 7.231]], "species": ["Pb", "Pb", "Pb", "Pb", "Li", "Pb", "Hg", "Hg", "Hg", "Hg", "Hg", "Pb", "Hg", "Li"], "fractional_positions": [[0.333, 0.333, 0.630], [0.671, 0.329, 0.000], [0.173, 0.827, 0.500], [0.667, 0.667, 0.370], [0.239, 0.239, 0.264], [0.827, 0.173, 0.500], [0.257, 0.723, 0.756], [0.277, 0.743, 0.244], [0.723, 0.257, 0.756], [0.000, 0.000, 0.887], [0.000, 0.000, 0.113], [0.329, 0.671, 0.000], [0.743, 0.277, 0.244], [0.761, 0.761, 0.736]]}